one) The following is a PBE-GGA calculation of an optimized crystal structure of SrNbRh2, from Alexandria via LeMat-Bulk.

Cell lengths 4.7518, 4.7518, 4.7518 Å; angles 60.00, 60.00, 60.00 degrees
Closest atoms and distances in Å follow each position.
Positions (direct):
Sr  0.0000  0.0000  0.0000  8 Rh 2.91
Nb  0.5000  0.5000  0.5000  8 Rh 2.91
Rh  0.2500  0.2500  0.2500  4 Nb 2.91, 4 Sr 2.91
Rh  0.7500  0.7500  0.7500  4 Nb 2.91, 4 Sr 2.91

Properties
* symmetry: No. 225
* size of the total moment: 0.000 μB/f.u.
* N(E_F): 1.128 states/eV/atom



two) The following is a PBE-GGA calculation of an optimized crystal structure of SrNbRh2, from Alexandria via LeMat-Bulk.

Cell lengths 3.2507, 3.2507, 7.5828 Å; angles 90.00, 90.00, 90.00 degrees
Closest atoms and distances in Å follow each position.
Positions (direct):
Sr  0.5000  0.5000  0.5000  4 Sr 3.25, 8 Rh 3.29
Nb  0.5000  0.5000  0.0000  8 Rh 2.71
Rh  0.0000  0.0000  0.8106  4 Nb 2.71, 1 Rh 2.87
Rh  0.0000  0.0000  0.1894  4 Nb 2.71, 1 Rh 2.87

Properties
* symmetry: No. 123
* size of the total moment: 0.000 μB/f.u.
* N(E_F): 0.969 states/eV/atom



The data favor two); the next most stable structure lies 370 meV/atom above it.



one) The following is a PBE-GGA calculation of an optimized crystal structure of Ta3NbRh, from Alexandria via LeMat-Bulk.

Cell lengths 4.7882, 4.7882, 4.7882 Å; angles 90.00, 90.00, 90.00 degrees
Closest atoms and distances in Å follow each position.
Positions (direct):
Nb  0.0000  0.0000  0.0000  6 Ta 2.39
Rh  0.5000  0.5000  0.5000  12 Ta 3.39
Ta  0.0000  0.5000  0.0000  2 Nb 2.39
Ta  0.0000  0.0000  0.5000  2 Nb 2.39
Ta  0.5000  0.0000  0.0000  2 Nb 2.39

Properties
* symmetry: No. 221
* size of the total moment: 0.000 μB/f.u.
* N(E_F): 1.206 states/eV/atom



two) The following is a PBE-GGA calculation of an optimized crystal structure of Ta3NbRh, from Alexandria via LeMat-Bulk.

Cell lengths 5.5379, 7.9132, 8.3609 Å; angles 90.00, 90.00, 90.00 degrees
Closest atoms and distances in Å follow each position.
Positions (direct):
Ta  0.9326  0.1723  0.0604  1 Rh 2.57, 2 Nb 2.67-2.80
Ta  0.5674  0.6723  0.5604  1 Rh 2.57, 2 Nb 2.67-2.80
Ta  0.5674  0.6723  0.9396  1 Rh 2.57, 2 Nb 2.67-2.80
Ta  0.0674  0.8277  0.5604  1 Rh 2.57, 2 Nb 2.67-2.80
Ta  0.0674  0.8277  0.9396  1 Rh 2.57, 2 Nb 2.67-2.80
Ta  0.4326  0.3277  0.4396  1 Rh 2.57, 2 Nb 2.67-2.80
Ta  0.4326  0.3277  0.0604  1 Rh 2.57, 2 Nb 2.67-2.80
Ta  0.9326  0.1723  0.4396  1 Rh 2.57, 2 Nb 2.67-2.80
Ta  0.7064  0.3250  0.7500  2 Rh 2.75-2.84, 2 Nb 2.99, 4 Ta 3.01
Ta  0.7936  0.8250  0.2500  2 Rh 2.75-2.84, 2 Nb 2.99, 4 Ta 3.01
Ta  0.2936  0.6750  0.2500  2 Rh 2.75-2.84, 2 Nb 2.99, 4 Ta 3.01
Ta  0.2064  0.1750  0.7500  2 Rh 2.75-2.84, 2 Nb 2.99, 4 Ta 3.01
Nb  0.0000  0.5000  0.0000  2 Rh 2.59, 4 Ta 2.67-2.80
Nb  0.5000  0.0000  0.5000  2 Rh 2.59, 4 Ta 2.67-2.80
Nb  0.5000  0.0000  0.0000  2 Rh 2.59, 4 Ta 2.67-2.80
Nb  0.0000  0.5000  0.5000  2 Rh 2.59, 4 Ta 2.67-2.80
Rh  0.2753  0.5187  0.7500  4 Ta 2.57-2.84, 2 Nb 2.59
Rh  0.2247  0.0187  0.2500  4 Ta 2.57-2.84, 2 Nb 2.59
Rh  0.7247  0.4813  0.2500  4 Ta 2.57-2.84, 2 Nb 2.59
Rh  0.7753  0.9813  0.7500  4 Ta 2.57-2.84, 2 Nb 2.59

Properties
* symmetry: No. 62
* size of the total moment: 0.000 μB/f.u.
* N(E_F): 0.968 states/eV/atom



The data favor two); the next most stable structure lies 1672 meV/atom above it.



one) The following is a PBE-GGA calculation of an optimized crystal structure of Ta3NbRh, from Alexandria via LeMat-Bulk.

Cell lengths 5.6665, 5.6665, 5.6665 Å; angles 88.55, 88.55, 88.55 degrees
Closest atoms and distances in Å follow each position.
Positions (direct):
Ta  0.2740  0.9376  0.5938  2 Rh 2.63-2.83, 2 Nb 2.78-2.94, 1 Ta 2.85
Ta  0.5938  0.2740  0.9376  2 Rh 2.63-2.83, 2 Nb 2.78-2.94, 1 Ta 2.85
Ta  0.9376  0.5938  0.2740  2 Rh 2.63-2.83, 2 Nb 2.78-2.94, 1 Ta 2.85
Ta  0.7260  0.0624  0.4062  2 Rh 2.63-2.83, 2 Nb 2.78-2.94, 1 Ta 2.85
Ta  0.0624  0.4062  0.7260  2 Rh 2.63-2.83, 2 Nb 2.78-2.94, 1 Ta 2.85
Ta  0.4062  0.7260  0.0624  2 Rh 2.63-2.83, 2 Nb 2.78-2.94, 1 Ta 2.85
Nb  0.1323  0.1323  0.1323  1 Rh 2.50, 1 Nb 2.66, 3 Ta 2.78
Nb  0.8677  0.8677  0.8677  1 Rh 2.50, 1 Nb 2.66, 3 Ta 2.78
Rh  0.3807  0.3807  0.3807  1 Rh 2.40, 1 Nb 2.50, 3 Ta 2.63
Rh  0.6193  0.6193  0.6193  1 Rh 2.40, 1 Nb 2.50, 3 Ta 2.63

Properties
* symmetry: No. 148
* size of the total moment: 0.000 μB/f.u.
* N(E_F): 1.004 states/eV/atom



two) The following is a PBE-GGA calculation of an optimized crystal structure of Ta3NbRh, from Alexandria via LeMat-Bulk.

Cell lengths 4.7726, 4.7726, 4.7726 Å; angles 90.00, 90.00, 90.00 degrees
Closest atoms and distances in Å follow each position.
Positions (direct):
Nb  0.5000  0.5000  0.5000  12 Ta 3.37
Rh  0.0000  0.0000  0.0000  6 Ta 2.39
Ta  0.0000  0.5000  0.0000  2 Rh 2.39
Ta  0.0000  0.0000  0.5000  2 Rh 2.39
Ta  0.5000  0.0000  0.0000  2 Rh 2.39

Properties
* symmetry: No. 221
* size of the total moment: 0.000 μB/f.u.
* N(E_F): 1.831 states/eV/atom



The data favor one); the next most stable structure lies 1042 meV/atom above it.



one) The following is a PBE-GGA calculation of an optimized crystal structure of Ta6Nb3Rh, from Alexandria via LeMat-Bulk.

Cell lengths 6.7876, 6.7876, 6.7876 Å; angles 60.00, 60.00, 60.00 degrees
Closest atoms and distances in Å follow each position.
Positions (direct):
Ta  0.7526  0.7526  0.2474  1 Rh 2.37, 1 Nb 2.43
Ta  0.2474  0.7526  0.7526  1 Rh 2.37, 1 Nb 2.43
Ta  0.2474  0.7526  0.2474  1 Rh 2.37, 1 Nb 2.43
Ta  0.7526  0.2474  0.2474  1 Rh 2.37, 1 Nb 2.43
Ta  0.7526  0.2474  0.7526  1 Rh 2.37, 1 Nb 2.43
Ta  0.2474  0.2474  0.7526  1 Rh 2.37, 1 Nb 2.43
Nb  0.7500  0.7500  0.7500  12 Ta 3.39
Nb  0.2500  0.2500  0.2500  12 Ta 3.39
Nb  0.5000  0.5000  0.5000  6 Ta 2.43
Rh  0.0000  0.0000  0.0000  6 Ta 2.37

Properties
* symmetry: No. 225
* size of the total moment: 0.000 μB/f.u.
* N(E_F): 1.641 states/eV/atom



two) The following is a PBE-GGA calculation of an optimized crystal structure of Ta6Nb3Rh, from Alexandria via LeMat-Bulk.

Cell lengths 4.6797, 8.0760, 9.7984 Å; angles 105.83, 90.00, 90.00 degrees
Closest atoms and distances in Å follow each position.
Positions (direct):
Ta  0.2500  0.4518  0.1028  7 Nb 2.80-2.89, 1 Ta 2.86
Ta  0.7500  0.5482  0.8972  7 Nb 2.80-2.89, 1 Ta 2.86
Ta  0.2500  0.1485  0.2005  8 Ta 2.84-2.88
Ta  0.7500  0.8515  0.7995  8 Ta 2.84-2.88
Ta  0.2500  0.6492  0.6954  5 Nb 2.79-2.89, 1 Rh 2.84, 2 Ta 2.88
Ta  0.7500  0.3508  0.3046  5 Nb 2.79-2.89, 1 Rh 2.84, 2 Ta 2.88
Ta  0.2500  0.2452  0.5019  3 Rh 2.80-2.85, 4 Nb 2.81-2.89, 1 Ta 2.84
Ta  0.7500  0.7548  0.4981  3 Rh 2.80-2.85, 4 Nb 2.81-2.89, 1 Ta 2.84
Ta  0.2500  0.8524  0.3052  3 Rh 2.77-2.84, 4 Nb 2.85-2.87, 1 Ta 2.85
Ta  0.7500  0.1476  0.6948  3 Rh 2.77-2.84, 4 Nb 2.85-2.87, 1 Ta 2.85
Ta  0.2500  0.0513  0.8982  1 Rh 2.82, 4 Nb 2.83-2.85, 3 Ta 2.85-2.86
Ta  0.7500  0.9487  0.1018  1 Rh 2.82, 4 Nb 2.83-2.85, 3 Ta 2.85-2.86
Nb  0.2500  0.5489  0.3994  8 Ta 2.79-2.89
Nb  0.7500  0.4511  0.6006  8 Ta 2.79-2.89
Nb  0.2500  0.3490  0.7995  8 Ta 2.81-2.88
Nb  0.7500  0.6510  0.2005  8 Ta 2.81-2.88
Nb  0.2500  0.7539  0.0019  8 Ta 2.84-2.89
Nb  0.7500  0.2461  0.9981  8 Ta 2.84-2.89
Rh  0.2500  0.9504  0.5993  8 Ta 2.77-2.85
Rh  0.7500  0.0496  0.4007  8 Ta 2.77-2.85

Properties
* symmetry: No. 11
* size of the total moment: 0.000 μB/f.u.
* N(E_F): 1.130 states/eV/atom



The data favor two); the next most stable structure lies 1579 meV/atom above it.